No. 1
A geometry-optimized ZrMnMo2 structure. Source: the Alexandria database, functional PBE.

POSCAR file:
```
ZrMnMo2
1.0
-4.256 -1.201 0.616
-1.505 -0.859 4.116
-2.853 2.816 1.967
Mo Mn Zr
2 1 1
direct
0.750 0.750 0.750
0.250 0.250 0.250
0.000 0.000 0.000
0.500 0.500 0.500
```

Computed properties:
Density of states at the Fermi level (states/eV/f.u.): 2.2
Crystal system: cubic
Calculated formation energy (eV/atom): 0.164


No. 2
A geometry-optimized ZrMnMo2 structure. Source: the Alexandria database, functional PBE.

POSCAR file:
```
ZrMnMo2
1.0
4.363 0.000 0.000
0.000 2.844 0.001
0.000 0.926 5.214
Mo Zr Mn
2 1 1
direct
0.000 0.003 0.000
0.500 0.240 0.231
0.000 0.499 0.508
0.500 0.758 0.761
```

Computed properties:
Density of states at the Fermi level (states/eV/f.u.): 3.8
Crystal system: monoclinic
Calculated formation energy (eV/atom): 0.139


No. 3
A geometry-optimized ZrMnMo structure. Source: the Alexandria database, functional PBE.

POSCAR file:
```
ZrMnMo
1.0
5.190 0.021 -0.036
-2.504 4.546 0.036
-2.567 -1.564 4.231
Mn Mo Zr
2 2 2
direct
0.000 0.500 0.500
0.500 0.000 0.500
0.500 0.500 0.500
0.000 0.500 0.000
0.750 0.877 0.127
0.250 0.123 0.873
```

Computed properties:
Density of states at the Fermi level (states/eV/f.u.): 2.3
Crystal system: orthorhombic
Calculated formation energy (eV/atom): -0.138


No. 4
A geometry-optimized Zr4Mn2Mo structure. Source: the Alexandria database, functional PBE.

POSCAR file:
```
Zr4Mn2Mo
1.0
-4.013 -3.007 -0.146
0.461 -0.854 4.923
-5.582 3.089 3.615
Zr Mn Mo
4 2 1
direct
0.797 0.797 0.406
0.500 0.000 0.000
0.000 0.500 0.000
0.203 0.203 0.594
0.396 0.396 0.207
0.604 0.604 0.793
0.000 0.000 0.000
```

Computed properties:
Density of states at the Fermi level (states/eV/f.u.): 8.9
Crystal system: tetragonal
Calculated formation energy (eV/atom): 0.798


Copy entry 2 word for word.
A geometry-optimized ZrMnMo2 structure. Source: the Alexandria database, functional PBE.

POSCAR file:
```
ZrMnMo2
1.0
4.363 0.000 0.000
0.000 2.844 0.001
0.000 0.926 5.214
Mo Zr Mn
2 1 1
direct
0.000 0.003 0.000
0.500 0.240 0.231
0.000 0.499 0.508
0.500 0.758 0.761
```

Computed properties:
Density of states at the Fermi level (states/eV/f.u.): 3.8
Crystal system: monoclinic
Calculated formation energy (eV/atom): 0.139